! Cu4Ag5 PBE-GGA relaxed; values from VASP
&SYSTEM
  ibrav = 0, nat = 9, ntyp = 2
/
ATOMIC_SPECIES
Ag 107.87 Ag.upf
Cu 63.55 Cu.upf
ATOMIC_POSITIONS angstrom
Ag -0.7640 -0.8836 3.9992
Ag -1.8559 -0.6261 8.4862
Cu 0.3726 -1.2018 -0.6312
Cu -1.1577 -2.8690 7.2962
Cu -1.5272 -4.9137 10.5370
Ag 0.7013 -5.4894 1.4196
Cu 0.0031 -3.2464 2.6096
Ag -0.3906 -5.2319 5.9067
Ag 1.1143 -3.4893 -1.9722
CELL_PARAMETERS angstrom
-0.3335 0.6867 7.2409
-3.0496 0.1764 6.6093
2.2285 -6.9786 -3.9444
! - ρ: 9.6 g/cm³
! - Excess energy over the best structure of this formula in the dataset: 66 meV/atom
! - Crystal system: monoclinic



! Cu4Ag5 PBE-GGA relaxed; values from VASP
&SYSTEM
  ibrav = 0, nat = 9, ntyp = 2
/
ATOMIC_SPECIES
Cu 63.55 Cu.upf
Ag 107.87 Ag.upf
ATOMIC_POSITIONS angstrom
Cu 5.9558 0.0000 7.7598
Cu 4.3977 0.0000 4.5435
Ag -1.8106 0.0000 5.3765
Ag 2.5822 0.0000 0.6981
Cu 3.4429 0.0000 6.9316
Ag -0.9347 0.0000 2.6476
Ag 5.2428 0.0000 1.6413
Cu 0.8103 0.0000 6.1530
Ag 1.6857 0.0000 3.5971
CELL_PARAMETERS angstrom
4.4342 -1.9725 0.0000
4.4342 1.9725 0.0000
-2.8203 0.0000 7.8697
! - ρ: 9.6 g/cm³
! - Excess energy over the best structure of this formula in the dataset: 49 meV/atom
! - Crystal system: monoclinic



! Cu4Ag3 PBE-GGA relaxed; values from VASP
&SYSTEM
  ibrav = 0, nat = 7, ntyp = 2
/
ATOMIC_SPECIES
Cu 63.55 Cu.upf
Ag 107.87 Ag.upf
ATOMIC_POSITIONS angstrom
Cu 0.7677 1.4074 3.3247
Cu 3.0504 2.5458 3.9721
Ag -0.0803 3.5473 1.9449
Ag 3.1596 0.2431 2.6707
Ag 2.3575 0.0000 0.0000
Cu 0.0289 1.2447 0.6435
Cu 2.3117 2.3831 1.2909
CELL_PARAMETERS angstrom
4.7150 0.0000 0.0000
-0.8073 4.6622 0.0000
-0.8284 -0.8717 4.6156
! - ρ: 9.5 g/cm³
! - Excess energy over the best structure of this formula in the dataset: 52 meV/atom
! - Crystal system: triclinic



! Cu3Ag4 PBE-GGA relaxed; values from VASP
&SYSTEM
  ibrav = 0, nat = 7, ntyp = 2
/
ATOMIC_SPECIES
Ag 107.87 Ag.upf
Cu 63.55 Cu.upf
ATOMIC_POSITIONS angstrom
Ag 0.0000 0.0000 13.2937
Cu 0.0000 0.0000 19.9247
Ag 0.0000 0.0000 16.7331
Ag 0.0000 0.0000 7.8720
Cu 0.0000 0.0000 10.5829
Cu 0.0000 0.0000 1.2410
Ag 0.0000 0.0000 4.4327
CELL_PARAMETERS angstrom
-1.4313 1.7832 10.5829
1.4313 -1.7832 10.5829
1.4313 1.7832 -10.5829
! - ρ: 9.6 g/cm³
! - Excess energy over the best structure of this formula in the dataset: 27 meV/atom
! - Crystal system: orthorhombic



! Cu4Ag5 PBE-GGA relaxed; values from VASP
&SYSTEM
  ibrav = 0, nat = 9, ntyp = 2
/
ATOMIC_SPECIES
Ag 107.87 Ag.upf
Cu 63.55 Cu.upf
ATOMIC_POSITIONS angstrom
Ag -2.2346 3.1230 9.9998
Ag -4.6042 1.2941 10.1970
Cu -8.9397 -2.0539 10.5540
Cu 1.3518 2.7007 3.2428
Cu -3.8842 0.2875 6.9741
Ag -2.9992 -0.7288 3.4604
Cu -0.7621 0.9915 3.2615
Ag -6.8355 -0.3698 10.5004
Ag -1.5184 2.2904 7.1356
CELL_PARAMETERS angstrom
-5.4060 -0.1020 4.7037
-3.7253 -2.1695 5.7249
3.8076 4.7231 3.2956
! - ρ: 9.6 g/cm³
! - Excess energy over the best structure of this formula in the dataset: 42 meV/atom
! - Crystal system: monoclinic



! Cu3Ag2 PBE-GGA relaxed; values from VASP
&SYSTEM
  ibrav = 0, nat = 10, ntyp = 2
/
ATOMIC_SPECIES
Cu 63.55 Cu.upf
Ag 107.87 Ag.upf
ATOMIC_POSITIONS angstrom
Cu 8.5507 10.0179 -0.7876
Cu 0.8890 2.8632 0.6740
Ag 2.7559 5.5668 0.1942
Ag 1.9001 0.3867 0.9215
Cu 5.4655 5.5500 0.0053
Ag 3.5804 2.8201 0.4897
Ag 7.0019 7.7749 -0.3896
Cu 6.0024 10.2683 -0.6401
Cu 7.4086 12.3046 -1.0014
Cu 4.3016 7.8053 -0.2030
CELL_PARAMETERS angstrom
-1.2963 1.2745 2.1380
2.3944 -1.2623 2.2043
8.2019 11.8777 -2.1078
! - ρ: 9.4 g/cm³
! - Excess energy over the best structure of this formula in the dataset: 44 meV/atom
! - Crystal system: orthorhombic



Number 1: energy relative to the elements 0.104 eV/atom. Number 2: energy relative to the elements 0.086 eV/atom. Number 3: energy relative to the elements 0.101 eV/atom. Number 4: energy relative to the elements 0.069 eV/atom. Number 5: energy relative to the elements 0.080 eV/atom. Number 6: energy relative to the elements 0.086 eV/atom.